No. 1
First-principles (PBE) data for GdZrIr2 after structural relaxation, as listed in Alexandria via LeMat-Bulk.

Properties
DOS(E_F)   2.6 states/eV/cell
M_tot   1.745 μB/atom
Formation enthalpy at 0 K   -0.777 eV/atom

Cell lengths 3.3556, 3.3556, 6.9384 Å; angles 90.00, 90.00, 90.00 degrees
Last column: nearest neighbours and their distance in Å.
Space group P4/mmm (No. 123)
Asymmetric unit:
Gd 0.0000 0.0000 0.0000 x1  8 Ir 3.05, 4 Gd 3.36
Zr 0.0000 0.0000 0.5000 x1  8 Ir 2.84
Ir 0.5000 0.5000 0.2764 x2  4 Zr 2.84, 4 Gd 3.05, 1 Ir 3.10

=====

No. 2
First-principles (PBE) data for GdZrIr after structural relaxation, as listed in Alexandria via LeMat-Bulk.

Properties
DOS(E_F)   15.1 states/eV/cell
E above lowest polymorph   0.000 eV per atom
M_tot   2.469 μB/atom
Formation enthalpy at 0 K   -0.473 eV/atom

Cell lengths 6.6534, 6.6534, 6.6534 Å; angles 90.00, 90.00, 90.00 degrees
Last column: nearest neighbours and their distance in Å.
Space group F-43m (No. 216)
Asymmetric unit:
Gd 0.0000 0.0000 0.0000 x4  4 Ir 2.88
Zr 0.0000 0.0000 0.5000 x4  4 Ir 2.88
Ir 0.2500 0.2500 0.7500 x4  4 Zr 2.88, 4 Gd 2.88

=====

No. 3
First-principles (PBE) data for GdZr2Ir after structural relaxation, as listed in Alexandria via LeMat-Bulk.

Properties
DOS(E_F)   21.9 states/eV/cell
M_tot   1.925 μB/atom
Formation enthalpy at 0 K   -0.223 eV/atom

Cell lengths 6.8921, 6.8921, 6.8921 Å; angles 90.00, 90.00, 90.00 degrees
Last column: nearest neighbours and their distance in Å.
Space group Fm-3m (No. 225)
Asymmetric unit:
Gd 0.0000 0.0000 0.0000 x4  8 Zr 2.98
Zr 0.2500 0.2500 0.2500 x8  4 Gd 2.98, 4 Ir 2.98
Ir 0.0000 0.0000 0.5000 x4  8 Zr 2.98

=====

No. 4
First-principles (PBE) data for GdZrIr after structural relaxation, as listed in Alexandria via LeMat-Bulk.

Properties
DOS(E_F)   5.7 states/eV/cell
E above lowest polymorph   0.006 eV per atom
M_tot   2.756 μB/atom
Formation enthalpy at 0 K   -0.467 eV/atom

Cell lengths 3.4289, 3.4289, 11.5117 Å; angles 90.00, 90.00, 90.00 degrees
Last column: nearest neighbours and their distance in Å.
Space group I4mm (No. 107)
Asymmetric unit:
Gd 0.0000 0.0000 0.0000 x2  4 Ir 3.10, 5 Zr 3.28-3.46, 4 Gd 3.43
Zr 0.0000 0.0000 0.2852 x2  4 Ir 2.77
Ir 0.0000 0.0000 0.6680 x2  4 Zr 2.77, 4 Gd 3.10

=====

No. 5
First-principles (PBE) data for KGd2Lu after structural relaxation, as listed in Alexandria via LeMat-Bulk.

Properties
DOS(E_F)   14.6 states/eV/cell
M_tot   3.701 μB/atom
Formation enthalpy at 0 K   0.223 eV/atom

Cell lengths 3.5749, 3.5749, 39.4089 Å; angles 90.00, 90.00, 120.00 degrees
Last column: nearest neighbours and their distance in Å.
Space group R-3m (No. 166, hexagonal axes)
Asymmetric unit:
K 0.0000 0.0000 0.0000 x3  6 K 3.57, 2 Gd 3.80
Gd 0.0000 0.0000 0.0965 x6  3 Lu 3.45, 6 Gd 3.57, 1 K 3.80
Lu 0.0000 0.0000 0.5000 x3  6 Gd 3.45, 6 Lu 3.57

=====

No. 6
First-principles (PBE) data for KGdLu2 after structural relaxation, as listed in Alexandria via LeMat-Bulk.

Properties
DOS(E_F)   18.3 states/eV/cell
M_tot   1.795 μB/atom
Formation enthalpy at 0 K   0.295 eV/atom

Cell lengths 3.5258, 3.5258, 39.3334 Å; angles 90.00, 90.00, 120.00 degrees
Last column: nearest neighbours and their distance in Å.
Space group R-3m (No. 166, hexagonal axes)
Asymmetric unit:
K 0.0000 0.0000 0.0000 x3  6 K 3.53, 2 Lu 3.75
Gd 0.0000 0.0000 0.5000 x3  6 Lu 3.47, 6 Gd 3.53
Lu 0.0000 0.0000 0.0954 x6  3 Gd 3.47, 6 Lu 3.53, 1 K 3.75

=====

> Look up the formation enthalpy at 0 K of the first one.

-0.777 eV/atom